(P)
Here is a relaxed MnReO4 crystal from Alexandria. Energies are from GGA+U.

Computed properties:
V (Å³/atom): 11.80
Total magnetization (μB per formula unit): 4.75

Cell and atoms, written as POSCAR:
```
MnReO4
1.0
4.756 0.000 0.000
0.000 5.354 -1.758
0.000 -0.327 5.667
Mn Re O
2 2 8
Cartesian
0.000 2.513 1.955 Mn
2.378 -0.164 2.834 Mn
2.378 2.677 -0.879 Re
0.000 0.000 0.000 Re
1.286 4.301 -0.710 O
1.093 1.624 0.169 O
3.216 3.214 0.707 O
0.837 4.490 2.322 O
3.919 0.537 1.587 O
1.541 1.813 3.202 O
3.664 3.403 3.740 O
3.471 0.726 4.619 O
```


(Q)
Here is a relaxed MnReO4 crystal from Alexandria. Energies are from GGA+U.

Computed properties:
V (Å³/atom): 11.89
Total magnetization (μB per formula unit): 4.02

Cell and atoms, written as POSCAR:
```
MnReO4
1.0
5.151 0.262 0.000
-0.509 4.814 0.000
-2.321 -2.538 5.724
Mn Re O
2 2 8
Cartesian
1.033 2.472 1.155 Mn
1.288 0.065 4.568 Mn
-1.542 2.342 3.981 Re
3.863 0.196 1.743 Re
4.611 1.407 0.597 O
2.606 3.800 0.597 O
-0.230 1.180 3.343 O
2.550 1.358 2.381 O
-0.484 3.587 2.381 O
-0.285 -1.262 5.127 O
2.805 -1.049 3.343 O
-2.290 1.131 5.127 O
```


Which structure is the most stable? The one labeled (P).